13
Lattice="-5.597 5.597 3.345 5.597 -5.597 3.345 5.597 5.597 -3.345" Properties=species:S:1:pos:R:3 comment="PBE Na8SrTl4, optimized geometry" e_tot_ev_per_atom=-1.767 magnetic_moment_mub_per_cell=0.000 sg="I4/mmm, No. 139" delta_e_f_ev_per_fu=-1.275 pbc="T T T"
Na 2.446 0.000 0.000
Na 8.749 0.000 0.000
Na 5.597 1.775 0.000
Na 0.000 2.446 0.000
Na 1.775 5.597 0.000
Na 3.823 0.000 3.345
Na 0.000 8.749 0.000
Na 0.000 3.823 3.345
Sr 0.000 0.000 3.345
Tl 2.799 2.799 -1.672
Tl 2.799 -2.799 1.672
Tl -2.799 2.799 1.672
Tl 2.799 2.799 1.672